The following is a GGA-PBE calculation of a geometry-optimized NpRuN structure, from Alexandria via LeMat-Bulk.

abc: 6.0329 6.0329 8.6026
angles: 125.26 125.26 49.74
Last column: nearest neighbours and their distance in Å.
Positions (direct):
N 0.1289 0.1289 0.2578  4 Np 2.32-2.37, 2 Ru 2.34
N 0.8711 0.8711 0.7422  4 Np 2.32-2.37, 2 Ru 2.34
N 0.1211 0.6211 0.2422  4 Np 2.32-2.37, 2 Ru 2.34
N 0.3789 0.8789 0.7578  4 Np 2.32-2.37, 2 Ru 2.34
Ru 0.6250 0.8750 0.2500  2 N 2.34, 2 Np 2.54
Ru 0.6250 0.3750 0.7500  2 N 2.34, 2 Np 2.54
Ru 0.6250 0.3750 0.2500  2 N 2.34, 2 Np 2.54
Ru 0.1250 0.3750 0.7500  2 N 2.34, 2 Np 2.54
Np 0.3998 0.8998 0.5000  4 N 2.32-2.37, 2 Ru 2.54
Np 0.1498 0.1498 0.0000  4 N 2.32-2.37, 2 Ru 2.54
Np 0.1002 0.6002 0.5000  4 N 2.32-2.37, 2 Ru 2.54
Np 0.8502 0.8502 0.0000  4 N 2.32-2.37, 2 Ru 2.54

Calculated values
* polymorph energy (0 for the lowest one): 0 meV per atom
* crystal system: orthorhombic
* E_form (uncorrected): -0.175 eV per atom
* E_tot: -31.07 eV/f.u.

---

The following is a GGA-PBE calculation of a geometry-optimized SmNp2RuN4 structure, from Alexandria via LeMat-Bulk.

abc: 3.3676 6.0258 11.5767
angles: 90.00 90.00 106.23
Last column: nearest neighbours and their distance in Å.
Positions (direct):
Sm 0.1076 0.2153 0.7500  2 N 2.44
Sm 0.8924 0.7847 0.2500  2 N 2.44
Np 0.3707 0.7413 0.5543  6 N 2.22-2.46
Np 0.6293 0.2587 0.0543  6 N 2.22-2.46
Np 0.6293 0.2587 0.4457  6 N 2.22-2.46
Np 0.3707 0.7413 0.9457  6 N 2.22-2.46
Ru 0.8465 0.6929 0.7500  4 N 2.10-2.12
Ru 0.1535 0.3071 0.2500  4 N 2.10-2.12
N 0.2701 0.5402 0.1091  1 Ru 2.12, 1 Np 2.22
N 0.7299 0.4598 0.6091  1 Ru 2.12, 1 Np 2.22
N 0.7299 0.4598 0.8909  1 Ru 2.12, 1 Np 2.22
N 0.2701 0.5402 0.3909  1 Ru 2.12, 1 Np 2.22
N 0.0000 0.0000 0.5000  4 Np 2.34
N 0.0000 0.0000 0.0000  4 Np 2.34
N 0.4546 0.9092 0.7500  2 Ru 2.10
N 0.5454 0.0908 0.2500  2 Ru 2.10

Calculated values
* crystal system: orthorhombic
* E_form (uncorrected): -0.913 eV per atom
* E_tot: -80.48 eV/f.u.

---

The following is a GGA-PBE calculation of a geometry-optimized Sm2NpRuN4 structure, from Alexandria via LeMat-Bulk.

abc: 3.3597 6.0572 11.8622
angles: 90.00 90.00 106.10
Last column: nearest neighbours and their distance in Å.
Positions (direct):
Sm 0.3692 0.7384 0.5502  3 N 2.34-2.47
Sm 0.6308 0.2616 0.0502  3 N 2.34-2.47
Sm 0.6308 0.2616 0.4498  3 N 2.34-2.47
Sm 0.3692 0.7384 0.9498  3 N 2.34-2.47
Np 0.1142 0.2283 0.7500  6 N 2.40-2.44
Np 0.8858 0.7717 0.2500  6 N 2.40-2.44
Ru 0.8540 0.7080 0.7500  4 N 2.06-2.13
Ru 0.1460 0.2920 0.2500  4 N 2.06-2.13
N 0.2829 0.5658 0.1400  1 Ru 2.06
N 0.7171 0.4342 0.6400  1 Ru 2.06
N 0.7171 0.4342 0.8600  1 Ru 2.06
N 0.2829 0.5658 0.3600  1 Ru 2.06
N 0.0000 0.0000 0.5000  4 Sm 2.34
N 0.0000 0.0000 0.0000  4 Sm 2.34
N 0.4663 0.9326 0.7500  2 Ru 2.13
N 0.5337 0.0674 0.2500  2 Ru 2.13

Calculated values
* crystal system: orthorhombic
* E_form (uncorrected): -0.829 eV per atom
* E_tot: -71.58 eV/f.u.

---

The following is a GGA-PBE calculation of a geometry-optimized Th2NpRuN4 structure, from Alexandria via LeMat-Bulk.

abc: 3.4176 6.1578 12.0763
angles: 90.00 90.00 106.11
Last column: nearest neighbours and their distance in Å.
Positions (direct):
Th 0.3681 0.7363 0.5574  6 N 2.42-2.65
Th 0.6319 0.2637 0.0574  6 N 2.42-2.65
Th 0.6319 0.2637 0.4426  6 N 2.42-2.65
Th 0.3681 0.7363 0.9426  6 N 2.42-2.65
Np 0.1109 0.2217 0.7500  6 N 2.42-2.54
Np 0.8891 0.7783 0.2500  6 N 2.42-2.54
Ru 0.8501 0.7003 0.7500  4 N 2.13-2.19
Ru 0.1499 0.2997 0.2500  4 N 2.13-2.19
N 0.2845 0.5690 0.1331  1 Ru 2.13
N 0.7155 0.4310 0.6331  1 Ru 2.13
N 0.7155 0.4310 0.8669  1 Ru 2.13
N 0.2845 0.5690 0.3669  1 Ru 2.13
N 0.0000 0.0000 0.5000  4 Th 2.42
N 0.0000 0.0000 0.0000  4 Th 2.42
N 0.4658 0.9316 0.7500  2 Ru 2.19, 2 Np 2.42
N 0.5342 0.0684 0.2500  2 Ru 2.19, 2 Np 2.42

Calculated values
* crystal system: orthorhombic
* E_form (uncorrected): -0.960 eV per atom
* E_tot: -78.04 eV/f.u.

---

Which of these has the highest E_tot?
NpRuN